# 1
Density functional theory data (PBE) for an optimized crystal structure of Tm3Mg3GaPd2.

Cell: 7.396 7.396 4.099 Å, 90.00 90.00 120.00°
Fractional positions:
1 Tm 0.584 0.584 0.500
2 Tm 0.000 0.416 0.500
3 Tm 0.416 0.000 0.500
4 Pd 0.667 0.333 0.000
5 Pd 0.333 0.667 0.000
6 Mg 0.749 0.000 0.000
7 Mg 0.251 0.251 0.000
8 Mg 0.000 0.749 0.000
9 Ga 0.000 0.000 0.500

Results
total moment	0.01	Bohr magnetons per cell
VASP energy	-36.70	eV/f.u.
calculated volume	194.2	Å³ per cell
density	7.374	g cm⁻³



# 2
Density functional theory data (PBE) for an optimized crystal structure of PtCl4.

Cell: 10.539 10.539 10.539 Å, 90.00 90.00 90.00°
Fractional positions:
1 Pt 0.124 0.124 0.124
2 Pt 0.624 0.376 0.876
3 Pt 0.876 0.624 0.376
4 Pt 0.624 0.124 0.376
5 Pt 0.376 0.624 0.124
6 Pt 0.124 0.376 0.624
7 Pt 0.376 0.876 0.624
8 Pt 0.876 0.876 0.876
9 Cl 0.979 0.497 0.237
10 Cl 0.763 0.021 0.503
11 Cl 0.479 0.497 0.263
12 Cl 0.497 0.237 0.979
13 Cl 0.752 0.748 0.252
14 Cl 0.003 0.763 0.479
15 Cl 0.521 0.997 0.237
16 Cl 0.021 0.503 0.763
17 Cl 0.237 0.979 0.497
18 Cl 0.737 0.979 0.003
19 Cl 0.997 0.237 0.521
20 Cl 0.479 0.003 0.763
21 Cl 0.497 0.263 0.479
22 Cl 0.763 0.479 0.003
23 Cl 0.252 0.752 0.748
24 Cl 0.248 0.248 0.248
25 Cl 0.021 0.997 0.263
26 Cl 0.521 0.503 0.737
27 Cl 0.503 0.737 0.521
28 Cl 0.503 0.763 0.021
29 Cl 0.979 0.003 0.737
30 Cl 0.748 0.248 0.252
31 Cl 0.003 0.737 0.979
32 Cl 0.752 0.752 0.752
33 Cl 0.263 0.479 0.497
34 Cl 0.748 0.252 0.752
35 Cl 0.263 0.021 0.997
36 Cl 0.237 0.521 0.997
37 Cl 0.252 0.748 0.248
38 Cl 0.997 0.263 0.021
39 Cl 0.737 0.521 0.503
40 Cl 0.248 0.252 0.748

Results
total moment	16.00	Bohr magnetons per cell
VASP energy	-13.13	eV/f.u.
calculated volume	1170.6	Å³ per cell
density	3.823	g cm⁻³



# 3
Density functional theory data (PBE) for an optimized crystal structure of KDyAsO.

Cell: 5.816 5.816 5.182 Å, 90.00 90.00 90.00°
Fractional positions:
1 Dy 0.000 0.000 0.500
2 Dy 0.500 0.500 0.500
3 O 0.000 0.000 0.000
4 O 0.500 0.500 0.000
5 K 0.500 0.000 0.002
6 K 0.000 0.500 0.998
7 As 0.500 0.000 0.502
8 As 0.000 0.500 0.498

Results
total moment	0.00	Bohr magnetons per cell
VASP energy	-19.22	eV/f.u.
calculated volume	175.3	Å³ per cell
density	5.541	g cm⁻³



# 4
Density functional theory data (PBE) for an optimized crystal structure of TaNbPO.

Cell: 3.404 6.683 5.654 Å, 90.00 90.00 90.00°
Fractional positions:
1 O 0.000 0.205 0.841
2 O 0.000 0.795 0.341
3 P 0.500 0.614 0.920
4 P 0.500 0.386 0.420
5 Nb 0.000 0.107 0.472
6 Nb 0.000 0.893 0.972
7 Ta 0.500 0.756 0.521
8 Ta 0.500 0.244 0.021

Results
total moment	0.00	Bohr magnetons per cell
VASP energy	-36.32	eV/f.u.
calculated volume	128.6	Å³ per cell
density	8.285	g cm⁻³



> The lowest VASP energy belongs to which entry?

Tm3Mg3GaPd2



> Among the records above, which one has the lowest VASP energy?

Tm3Mg3GaPd2



> Which value of total moment does entry 1 give?

0.01 Bohr magnetons per cell



> The lowest density belongs to which entry?

PtCl4